1.
# PBE-GGA Pa5Tc4, relaxed
# final energy	-0.742	Ry/atom
# crystal system	monoclinic
# V	21.71	A^3/atom
# M_tot	0.00	μB/f.u.
# N(E_F)	1.094	states/eV per atom
data_Pa5Tc4
_space_group_name_H-M_alt 'P 1'
_space_group_IT_number 1
_space_group_name_Hall 'P 1'
_cell_length_a 6.073
_cell_length_b 6.073
_cell_length_c 9.693
_cell_angle_alpha 111.68
_cell_angle_beta 111.68
_cell_angle_gamma 36.39
loop_
_atom_site_label
_atom_site_fract_x
_atom_site_fract_y
_atom_site_fract_z
Pa1 0.000 0.000 0.000
Pa2 0.107 0.107 0.402
Pa3 0.233 0.233 0.828
Pa4 0.767 0.767 0.172
Pa5 0.893 0.893 0.598
Tc1 0.363 0.363 0.387
Tc2 0.491 0.491 0.187
Tc3 0.509 0.509 0.813
Tc4 0.637 0.637 0.613

2.
# PBE-GGA La3HfRh, relaxed
# energy relative to the lowest polymorph listed for this composition	738	meV per atom
# crystal system	cubic
# V	34.57	A^3/atom
# M_tot	0.00	μB/f.u.
# N(E_F)	1.107	states/eV per atom
data_La3HfRh
_space_group_name_H-M_alt 'P 1'
_space_group_IT_number 1
_space_group_name_Hall 'P 1'
_cell_length_a 5.570
_cell_length_b 5.570
_cell_length_c 5.570
_cell_angle_alpha 90.00
_cell_angle_beta 90.00
_cell_angle_gamma 90.00
loop_
_atom_site_label
_atom_site_fract_x
_atom_site_fract_y
_atom_site_fract_z
La1 0.000 0.000 0.500
La2 0.000 0.500 0.000
La3 0.500 0.000 0.000
Hf1 0.000 0.000 0.000
Rh1 0.500 0.500 0.500

3.
# PBE-GGA Li2La2DyPb2, relaxed
# final energy	-0.296	Ry/atom
# crystal system	trigonal
# V	27.17	A^3/atom
# M_tot	0.00	μB/f.u.
# N(E_F)	0.712	states/eV per atom
data_Li2La2DyPb2
_space_group_name_H-M_alt 'P 1'
_space_group_IT_number 1
_space_group_name_Hall 'P 1'
_cell_length_a 9.716
_cell_length_b 9.716
_cell_length_c 9.716
_cell_angle_alpha 28.96
_cell_angle_beta 28.96
_cell_angle_gamma 28.96
loop_
_atom_site_label
_atom_site_fract_x
_atom_site_fract_y
_atom_site_fract_z
Li1 0.104 0.104 0.104
Li2 0.896 0.896 0.896
La1 0.369 0.369 0.369
La2 0.631 0.631 0.631
Dy1 0.500 0.500 0.500
Pb1 0.231 0.231 0.231
Pb2 0.769 0.769 0.769

4.
# PBE-GGA K2ScNbZn, relaxed
# final energy	-0.195	Ry/atom
# crystal system	tetragonal
# V	37.39	A^3/atom
# M_tot	4.15	μB/f.u.
# N(E_F)	1.156	states/eV per atom
data_K2ScNbZn
_space_group_name_H-M_alt 'P 1'
_space_group_IT_number 1
_space_group_name_Hall 'P 1'
_cell_length_a 5.799
_cell_length_b 5.799
_cell_length_c 5.558
_cell_angle_alpha 90.00
_cell_angle_beta 90.00
_cell_angle_gamma 90.00
loop_
_atom_site_label
_atom_site_fract_x
_atom_site_fract_y
_atom_site_fract_z
K1 0.000 0.500 0.000
K2 0.500 0.000 0.000
Sc1 0.000 0.000 0.500
Nb1 0.500 0.500 0.500
Zn1 0.000 0.000 0.000

5.
# PBE-GGA Nd6In2O, relaxed
# crystal system	cubic
# uncorrected formation energy	-0.83	eV per atom
# V	28.47	A^3/atom
# M_tot	0.00	μB/f.u.
# N(E_F)	0.681	states/eV per atom
data_Nd6In2O
_space_group_name_H-M_alt 'P 1'
_space_group_IT_number 1
_space_group_name_Hall 'P 1'
_cell_length_a 7.130
_cell_length_b 7.130
_cell_length_c 7.130
_cell_angle_alpha 60.00
_cell_angle_beta 60.00
_cell_angle_gamma 60.00
loop_
_atom_site_label
_atom_site_fract_x
_atom_site_fract_y
_atom_site_fract_z
Nd1 0.247 0.247 0.753
Nd2 0.247 0.753 0.247
Nd3 0.247 0.753 0.753
Nd4 0.753 0.247 0.247
Nd5 0.753 0.247 0.753
Nd6 0.753 0.753 0.247
In1 0.250 0.250 0.250
In2 0.750 0.750 0.750
O1 0.000 0.000 0.000

6.
# PBE-GGA TlOsSCl2, relaxed
# energy relative to the lowest polymorph listed for this composition	0	meV per atom
# crystal system	tetragonal
# uncorrected formation energy	-0.14	eV per atom
# V	23.58	A^3/atom
# M_tot	0.00	μB/f.u.
# N(E_F)	0.389	states/eV per atom
data_TlOsSCl2
_space_group_name_H-M_alt 'P 1'
_space_group_IT_number 1
_space_group_name_Hall 'P 1'
_cell_length_a 5.177
_cell_length_b 5.177
_cell_length_c 4.399
_cell_angle_alpha 90.00
_cell_angle_beta 90.00
_cell_angle_gamma 90.00
loop_
_atom_site_label
_atom_site_fract_x
_atom_site_fract_y
_atom_site_fract_z
Tl1 0.000 0.000 0.000
Os1 0.500 0.500 0.500
S1 0.500 0.500 0.000
Cl1 0.000 0.500 0.500
Cl2 0.500 0.000 0.500

7.
# PBE-GGA Ni2CI, relaxed
# energy relative to the lowest polymorph listed for this composition	0	meV per atom
# crystal system	triclinic
# uncorrected formation energy	0.23	eV per atom
# V	17.25	A^3/atom
# M_tot	0.00	μB/f.u.
# N(E_F)	0.710	states/eV per atom
data_Ni2CI
_space_group_name_H-M_alt 'P 1'
_space_group_IT_number 1
_space_group_name_Hall 'P 1'
_cell_length_a 3.897
_cell_length_b 4.088
_cell_length_c 9.945
_cell_angle_alpha 96.72
_cell_angle_beta 90.69
_cell_angle_gamma 118.41
loop_
_atom_site_label
_atom_site_fract_x
_atom_site_fract_y
_atom_site_fract_z
Ni1 0.178 0.353 0.046
Ni2 0.260 0.532 0.798
Ni3 0.740 0.468 0.202
Ni4 0.822 0.647 0.954
C1 0.404 0.811 0.971
C2 0.596 0.189 0.029
I1 0.101 0.182 0.322
I2 0.899 0.818 0.678

8.
# PBE-GGA Sr5Br, relaxed
# energy relative to the lowest polymorph listed for this composition	84	meV per atom
# crystal system	orthorhombic
# uncorrected formation energy	-0.35	eV per atom
# V	53.36	A^3/atom
# M_tot	0.00	μB/f.u.
# N(E_F)	0.977	states/eV per atom
data_Sr5Br
_space_group_name_H-M_alt 'P 1'
_space_group_IT_number 1
_space_group_name_Hall 'P 1'
_cell_length_a 6.807
_cell_length_b 4.297
_cell_length_c 21.893
_cell_angle_alpha 90.00
_cell_angle_beta 90.00
_cell_angle_gamma 90.00
loop_
_atom_site_label
_atom_site_fract_x
_atom_site_fract_y
_atom_site_fract_z
Sr1 0.000 0.000 0.000
Sr2 0.000 0.000 0.330
Sr3 0.000 0.500 0.500
Sr4 0.000 0.500 0.830
Sr5 0.500 0.000 0.215
Sr6 0.500 0.000 0.549
Sr7 0.500 0.000 0.884
Sr8 0.500 0.500 0.049
Sr9 0.500 0.500 0.384
Sr10 0.500 0.500 0.715
Br1 0.000 0.000 0.604
Br2 0.000 0.500 0.104

9.
# PBE-GGA Pr6Dy2Y3Er, relaxed
# final energy	-0.378	Ry/atom
# crystal system	monoclinic
# V	33.73	A^3/atom
# M_tot	0.00	μB/f.u.
# N(E_F)	1.118	states/eV per atom
data_Pr6Dy2Y3Er
_space_group_name_H-M_alt 'P 1'
_space_group_IT_number 1
_space_group_name_Hall 'P 1'
_cell_length_a 6.316
_cell_length_b 6.316
_cell_length_c 11.903
_cell_angle_alpha 95.06
_cell_angle_beta 95.06
_cell_angle_gamma 120.00
loop_
_atom_site_label
_atom_site_fract_x
_atom_site_fract_y
_atom_site_fract_z
Pr1 0.084 0.417 0.751
Pr2 0.250 0.250 0.249
Pr3 0.417 0.084 0.751
Pr4 0.583 0.916 0.249
Pr5 0.750 0.750 0.751
Pr6 0.916 0.583 0.249
Dy1 0.167 0.833 0.000
Dy2 0.833 0.167 0.000
Y1 0.000 0.000 0.500
Y2 0.333 0.667 0.500
Y3 0.667 0.333 0.500
Er1 0.500 0.500 0.000

10.
# PBE-GGA KInTcSn2, relaxed
# final energy	-0.326	Ry/atom
# crystal system	tetragonal
# V	29.07	A^3/atom
# M_tot	0.47	μB/f.u.
# N(E_F)	0.742	states/eV per atom
data_KInTcSn2
_space_group_name_H-M_alt 'P 1'
_space_group_IT_number 1
_space_group_name_Hall 'P 1'
_cell_length_a 5.243
_cell_length_b 5.243
_cell_length_c 5.288
_cell_angle_alpha 90.00
_cell_angle_beta 90.00
_cell_angle_gamma 90.00
loop_
_atom_site_label
_atom_site_fract_x
_atom_site_fract_y
_atom_site_fract_z
K1 0.000 0.000 0.000
In1 0.500 0.500 0.000
Tc1 0.500 0.500 0.500
Sn1 0.000 0.500 0.500
Sn2 0.500 0.000 0.500

11.
# PBE-GGA Tl2TcPbCl8, relaxed
# crystal system	triclinic
# uncorrected formation energy	-0.91	eV per atom
# V	33.37	A^3/atom
# M_tot	2.99	μB/f.u.
data_Tl2TcPbCl8
_space_group_name_H-M_alt 'P 1'
_space_group_IT_number 1
_space_group_name_Hall 'P 1'
_cell_length_a 6.671
_cell_length_b 7.187
_cell_length_c 8.357
_cell_angle_alpha 89.45
_cell_angle_beta 89.33
_cell_angle_gamma 88.56
loop_
_atom_site_label
_atom_site_fract_x
_atom_site_fract_y
_atom_site_fract_z
Tl1 0.003 0.001 0.236
Tl2 0.997 0.999 0.764
Tc1 0.500 0.500 0.000
Pb1 0.500 0.500 0.500
Cl1 0.242 0.821 0.500
Cl2 0.278 0.392 0.207
Cl3 0.281 0.389 0.798
Cl4 0.331 0.790 0.997
Cl5 0.669 0.210 0.003
Cl6 0.719 0.611 0.202
Cl7 0.722 0.608 0.793
Cl8 0.758 0.179 0.500

12.
# PBE-GGA Mg2RhSe, relaxed
# crystal system	tetragonal
# uncorrected formation energy	-0.25	eV per atom
# V	18.81	A^3/atom
# M_tot	0.00	μB/f.u.
# N(E_F)	0.546	states/eV per atom
data_Mg2RhSe
_space_group_name_H-M_alt 'P 1'
_space_group_IT_number 1
_space_group_name_Hall 'P 1'
_cell_length_a 7.224
_cell_length_b 7.224
_cell_length_c 5.766
_cell_angle_alpha 90.00
_cell_angle_beta 90.00
_cell_angle_gamma 90.00
loop_
_atom_site_label
_atom_site_fract_x
_atom_site_fract_y
_atom_site_fract_z
Mg1 0.249 0.750 0.125
Mg2 0.250 0.249 0.875
Mg3 0.250 0.251 0.375
Mg4 0.251 0.750 0.625
Mg5 0.749 0.250 0.625
Mg6 0.750 0.749 0.375
Mg7 0.750 0.751 0.875
Mg8 0.751 0.250 0.125
Rh1 0.000 0.000 0.500
Rh2 0.000 0.500 0.750
Rh3 0.500 0.000 0.250
Rh4 0.500 0.500 0.000
Se1 0.000 0.000 0.000
Se2 0.000 0.500 0.250
Se3 0.500 0.000 0.750
Se4 0.500 0.500 0.500

13.
# PBE-GGA LaPt2Pb, relaxed
# final energy	-0.430	Ry/atom
# crystal system	orthorhombic
# V	22.74	A^3/atom
# M_tot	0.00	μB/f.u.
# N(E_F)	0.386	states/eV per atom
data_LaPt2Pb
_space_group_name_H-M_alt 'P 1'
_space_group_IT_number 1
_space_group_name_Hall 'P 1'
_cell_length_a 6.983
_cell_length_b 7.017
_cell_length_c 3.713
_cell_angle_alpha 90.00
_cell_angle_beta 90.00
_cell_angle_gamma 90.00
loop_
_atom_site_label
_atom_site_fract_x
_atom_site_fract_y
_atom_site_fract_z
La1 0.000 0.000 0.000
La2 0.500 0.500 0.000
Pt1 0.250 0.250 0.500
Pt2 0.250 0.750 0.500
Pt3 0.750 0.250 0.500
Pt4 0.750 0.750 0.500
Pb1 0.000 0.500 0.000
Pb2 0.500 0.000 0.000